{"formula": "NaTcRu3", "functional": "PBEsol", "state": "relaxed", "space_group": "No. 221", "dft_energy_ev_per_atom": -6.0436, "dos_at_fermi_per_ev_atom": 1.091, "lattice": [[-2.4587, -3.0030, 1.7488], [0.6685, -2.5109, -3.3719], [3.4102, -1.6729, 1.9218]], "species": ["Ru", "Na", "Ru", "Tc", "Ru"], "fractional_positions": [[0.0000, 0.0000, 0.5000], [0.0000, 0.0000, 0.0000], [0.5000, 0.0000, 0.0000], [0.5000, 0.5000, 0.5000], [0.0000, 0.5000, 0.0000]]}